a | This record from Alexandria describes crystalline TaReHg2 at its relaxed geometry. The functional is GGA-PBEsol.

Properties
magnetization: 0.0 μB per formula unit

a = 2.891 Å, b = 4.172 Å, c = 6.007 Å
α = 90.00°, β = 90.36°, γ = 90.00°
Fractional positions:
Re  0.077  0.000  0.523
Ta  0.415  0.500  0.724
Hg  0.980  0.000  0.997
Hg  0.528  0.500  0.255

---

b | This record from Alexandria describes crystalline TaReHg2 at its relaxed geometry. The functional is GGA-PBEsol.

Properties
magnetization: 0.0 μB per formula unit

a = 2.798 Å, b = 5.383 Å, c = 5.554 Å
α = 115.98°, β = 99.34°, γ = 100.65°
Fractional positions:
Ta  0.000  0.500  0.000
Hg  0.000  0.000  0.500
Hg  0.500  0.500  0.500
Re  0.500  0.000  0.000

---

c | This record from Alexandria describes crystalline TaReHg2 at its relaxed geometry. The functional is GGA-PBEsol.

Properties
magnetization: 0.0 μB per formula unit

a = 2.785 Å, b = 5.100 Å, c = 5.222 Å
α = 96.56°, β = 90.00°, γ = 105.85°
Fractional positions:
Hg  0.999  0.997  0.009
Hg  0.755  0.509  0.239
Ta  0.247  0.494  0.725
Re  0.500  0.999  0.527

---

d | This record from Alexandria describes crystalline TaReHg2 at its relaxed geometry. The functional is GGA-PBEsol.

Properties
magnetization: 0.0 μB per formula unit

a = 3.175 Å, b = 3.175 Å, c = 7.455 Å
α = 90.00°, β = 90.00°, γ = 90.00°
Fractional positions:
Hg  0.000  0.000  0.988
Hg  0.500  0.500  0.270
Ta  0.500  0.500  0.710
Re  0.000  0.000  0.531

---

Which one sits at the bottom of the stability order? b does.

---

a | This record from Alexandria describes crystalline ReHgTe3 at its relaxed geometry. The functional is GGA-PBEsol.

Properties
magnetization: 4.5 μB per formula unit

a = 5.458 Å, b = 5.458 Å, c = 5.458 Å
α = 90.00°, β = 90.00°, γ = 90.00°
Fractional positions:
Hg  0.000  0.000  0.000
Te  0.000  0.000  0.500
Te  0.500  0.000  0.000
Te  0.000  0.500  0.000
Re  0.500  0.500  0.500

---

b | This record from Alexandria describes crystalline ReHgTe3 at its relaxed geometry. The functional is GGA-PBEsol.

Properties
magnetization: 0.0 μB per formula unit

a = 5.223 Å, b = 5.223 Å, c = 5.223 Å
α = 90.00°, β = 90.00°, γ = 90.00°
Fractional positions:
Hg  0.500  0.500  0.500
Te  0.000  0.000  0.500
Te  0.000  0.500  0.000
Te  0.500  0.000  0.000
Re  0.000  0.000  0.000

---

Which one sits at the bottom of the stability order? a does.

---

a | This record from Alexandria describes crystalline TlReHg at its relaxed geometry. The functional is GGA-PBEsol.

Properties
magnetization: 1.8 μB per formula unit

a = 4.558 Å, b = 4.558 Å, c = 4.558 Å
α = 60.00°, β = 60.00°, γ = 60.00°
Fractional positions:
Tl  0.250  0.250  0.250
Hg  0.000  0.000  0.000
Re  0.500  0.500  0.500

---

b | This record from Alexandria describes crystalline TlReHg at its relaxed geometry. The functional is GGA-PBEsol.

Properties
magnetization: 0.0 μB per formula unit

a = 2.843 Å, b = 4.273 Å, c = 5.392 Å
α = 113.34°, β = 105.28°, γ = 90.00°
Fractional positions:
Tl  0.327  0.327  0.653
Re  0.659  0.659  0.317
Hg  0.015  0.015  0.030

---

c | This record from Alexandria describes crystalline TlReHg at its relaxed geometry. The functional is GGA-PBEsol.

Properties
magnetization: 0.0 μB per formula unit

a = 2.870 Å, b = 2.870 Å, c = 7.572 Å
α = 100.92°, β = 100.92°, γ = 90.00°
Fractional positions:
Re  0.662  0.662  0.323
Tl  0.321  0.321  0.642
Hg  0.017  0.017  0.035

---

Which one sits at the bottom of the stability order? a does.

---

a | This record from Alexandria describes crystalline SiHgRu2 at its relaxed geometry. The functional is GGA-PBEsol.

Properties
magnetization: 0.0 μB per formula unit

a = 2.778 Å, b = 3.590 Å, c = 6.189 Å
α = 90.00°, β = 90.00°, γ = 90.00°
Fractional positions:
Hg  0.500  0.500  0.761
Ru  0.500  0.500  0.281
Ru  0.000  0.000  0.035
Si  0.000  0.000  0.423

---

b | This record from Alexandria describes crystalline SiHgRu2 at its relaxed geometry. The functional is GGA-PBEsol.

Properties
magnetization: 0.0 μB per formula unit

a = 2.790 Å, b = 2.790 Å, c = 8.010 Å
α = 90.00°, β = 90.00°, γ = 90.00°
Fractional positions:
Hg  0.500  0.500  0.769
Ru  0.500  0.500  0.245
Ru  0.000  0.000  0.036
Si  0.000  0.000  0.449

---

c | This record from Alexandria describes crystalline SiHgRu2 at its relaxed geometry. The functional is GGA-PBEsol.

Properties
magnetization: 0.0 μB per formula unit

a = 2.832 Å, b = 2.832 Å, c = 8.859 Å
α = 80.80°, β = 80.80°, γ = 60.00°
Fractional positions:
Hg  0.250  0.250  0.250
Ru  0.752  0.752  0.743
Ru  0.008  0.008  0.976
Si  0.489  0.489  0.532

---

Which one sits at the bottom of the stability order? a does.

---

a | This record from Alexandria describes crystalline TaHg2Ru at its relaxed geometry. The functional is GGA-PBEsol.

Properties
magnetization: 0.0 μB per formula unit

a = 3.946 Å, b = 3.946 Å, c = 4.476 Å
α = 90.00°, β = 90.00°, γ = 90.00°
Fractional positions:
Ta  0.000  0.000  0.500
Hg  0.500  0.000  0.000
Hg  0.000  0.500  0.000
Ru  0.500  0.500  0.500

---

b | This record from Alexandria describes crystalline TaHg2Ru at its relaxed geometry. The functional is GGA-PBEsol.

Properties
magnetization: 0.0 μB per formula unit

a = 3.300 Å, b = 4.788 Å, c = 5.406 Å
α = 116.29°, β = 107.77°, γ = 90.00°
Fractional positions:
Hg  0.761  0.261  0.521
Hg  0.992  0.992  0.984
Ru  0.524  0.524  0.047
Ta  0.223  0.723  0.447

---

Which one sits at the bottom of the stability order? a does.

---

a | This record from Alexandria describes crystalline TlHgRu2 at its relaxed geometry. The functional is GGA-PBEsol.

Properties
magnetization: 1.2 μB per formula unit

a = 3.228 Å, b = 4.551 Å, c = 4.551 Å
α = 89.93°, β = 90.00°, γ = 90.00°
Fractional positions:
Ru  0.000  0.000  0.500
Ru  0.000  0.500  0.000
Tl  0.500  0.500  0.500
Hg  0.500  0.000  0.000

---

b | This record from Alexandria describes crystalline TlHgRu2 at its relaxed geometry. The functional is GGA-PBEsol.

Properties
magnetization: 0.0 μB per formula unit

a = 2.982 Å, b = 4.731 Å, c = 5.244 Å
α = 101.64°, β = 90.00°, γ = 108.37°
Fractional positions:
Hg  0.500  0.000  0.000
Ru  0.252  0.504  0.224
Ru  0.748  0.496  0.776
Tl  0.000  0.000  0.500

---

Which one sits at the bottom of the stability order? a does.

---

a | This record from Alexandria describes crystalline Hg2RuW at its relaxed geometry. The functional is GGA-PBEsol.

Properties
magnetization: 0.0 μB per formula unit

a = 2.906 Å, b = 5.083 Å, c = 5.083 Å
α = 115.43°, β = 90.00°, γ = 90.00°
Fractional positions:
Hg  0.000  0.000  0.500
Hg  0.000  0.500  0.000
Ru  0.500  0.000  0.000
W  0.500  0.500  0.500

---

b | This record from Alexandria describes crystalline Hg2RuW at its relaxed geometry. The functional is GGA-PBEsol.

Properties
magnetization: 0.3 μB per formula unit

a = 2.902 Å, b = 2.902 Å, c = 9.424 Å
α = 81.14°, β = 81.14°, γ = 60.00°
Fractional positions:
W  0.000  0.000  0.000
Ru  0.500  0.500  0.500
Hg  0.752  0.752  0.743
Hg  0.248  0.248  0.257

---

c | This record from Alexandria describes crystalline Hg2RuW at its relaxed geometry. The functional is GGA-PBEsol.

Properties
magnetization: 0.2 μB per formula unit

a = 3.971 Å, b = 3.971 Å, c = 5.116 Å
α = 112.83°, β = 112.83°, γ = 90.00°
Fractional positions:
Hg  0.750  0.250  0.500
Hg  0.250  0.750  0.500
Ru  0.500  0.500  0.000
W  0.000  0.000  0.000

---

Which one sits at the bottom of the stability order? c does.

---

a | This record from Alexandria describes crystalline YHg2Ru at its relaxed geometry. The functional is GGA-PBEsol.

Properties
magnetization: 0.0 μB per formula unit

a = 4.167 Å, b = 4.165 Å, c = 5.322 Å
α = 113.03°, β = 113.04°, γ = 90.00°
Fractional positions:
Ru  0.500  0.000  0.000
Hg  0.750  0.750  0.500
Hg  0.250  0.250  0.500
Y  0.000  0.500  0.000

---

b | This record from Alexandria describes crystalline YHg2Ru at its relaxed geometry. The functional is GGA-PBEsol.

Properties
magnetization: 0.0 μB per formula unit

a = 4.811 Å, b = 4.811 Å, c = 4.811 Å
α = 60.00°, β = 60.00°, γ = 60.00°
Fractional positions:
Ru  0.500  0.500  0.500
Hg  0.000  0.000  0.000
Hg  0.750  0.750  0.750
Y  0.250  0.250  0.250

---

Which one sits at the bottom of the stability order? b does.

---

a | This record from Alexandria describes crystalline ZrHg2Ru at its relaxed geometry. The functional is GGA-PBEsol.

Properties
magnetization: 0.6 μB per formula unit

a = 2.999 Å, b = 2.999 Å, c = 9.692 Å
α = 81.10°, β = 81.10°, γ = 60.00°
Fractional positions:
Ru  0.500  0.500  0.500
Hg  0.755  0.755  0.735
Hg  0.245  0.245  0.265
Zr  0.000  0.000  0.000

---

b | This record from Alexandria describes crystalline ZrHg2Ru at its relaxed geometry. The functional is GGA-PBEsol.

Properties
magnetization: 0.0 μB per formula unit

a = 4.704 Å, b = 4.704 Å, c = 4.704 Å
α = 60.00°, β = 60.00°, γ = 60.00°
Fractional positions:
Hg  0.750  0.750  0.750
Hg  0.000  0.000  0.000
Ru  0.500  0.500  0.500
Zr  0.250  0.250  0.250

---

Which one sits at the bottom of the stability order? a does.

---

a | This record from Alexandria describes crystalline HgTeS2 at its relaxed geometry. The functional is GGA-PBEsol.

Properties
magnetization: 0.0 μB per formula unit

a = 5.185 Å, b = 5.185 Å, c = 8.510 Å
α = 107.74°, β = 107.74°, γ = 90.00°
Fractional positions:
S  0.870  0.375  0.250
S  0.380  0.875  0.250
S  0.125  0.130  0.750
S  0.625  0.620  0.750
Hg  0.000  0.000  0.000
Hg  0.250  0.750  0.500
Te  0.500  0.500  0.000
Te  0.750  0.250  0.500

---

b | This record from Alexandria describes crystalline HgTeS2 at its relaxed geometry. The functional is GGA-PBEsol.

Properties
magnetization: 0.0 μB per formula unit

a = 3.811 Å, b = 3.811 Å, c = 8.276 Å
α = 76.69°, β = 76.69°, γ = 60.00°
Fractional positions:
Te  0.000  0.000  0.000
S  0.105  0.105  0.685
S  0.895  0.895  0.315
Hg  0.500  0.500  0.500

---

Which one sits at the bottom of the stability order? a does.

---

a | This record from Alexandria describes crystalline HgSb2 at its relaxed geometry. The functional is GGA-PBEsol.

Properties
magnetization: 0.0 μB per formula unit

a = 4.386 Å, b = 4.970 Å, c = 8.045 Å
α = 90.00°, β = 90.00°, γ = 90.00°
Fractional positions:
Sb  0.000  0.798  0.375
Sb  0.500  0.298  0.125
Sb  0.500  0.702  0.875
Sb  0.000  0.202  0.625
Hg  0.000  0.000  0.000
Hg  0.500  0.500  0.500

---

b | This record from Alexandria describes crystalline HgSb2 at its relaxed geometry. The functional is GGA-PBEsol.

Properties
magnetization: 0.0 μB per formula unit

a = 4.209 Å, b = 4.209 Å, c = 5.427 Å
α = 90.00°, β = 90.00°, γ = 120.00°
Fractional positions:
Sb  0.333  0.667  0.345
Sb  0.667  0.333  0.655
Hg  0.000  0.000  0.000

---

Which one sits at the bottom of the stability order? a does.

---

a | This record from Alexandria describes crystalline HgSb3 at its relaxed geometry. The functional is GGA-PBEsol.

Properties
magnetization: 0.0 μB per formula unit

a = 3.223 Å, b = 6.001 Å, c = 5.456 Å
α = 90.00°, β = 90.00°, γ = 90.00°
Fractional positions:
Hg  0.000  0.000  0.166
Sb  0.500  0.000  0.666
Sb  0.500  0.500  0.668
Sb  0.000  0.500  0.168

---

b | This record from Alexandria describes crystalline HgSb3 at its relaxed geometry. The functional is GGA-PBEsol.

Properties
magnetization: 0.0 μB per formula unit

a = 3.155 Å, b = 6.101 Å, c = 6.101 Å
α = 118.45°, β = 90.00°, γ = 90.00°
Fractional positions:
Sb  0.000  0.500  0.500
Sb  0.500  0.500  0.000
Sb  0.500  0.000  0.500
Hg  0.000  0.000  0.000

---

Which one sits at the bottom of the stability order? b does.

---

a | This record from Alexandria describes crystalline Si2HgSb at its relaxed geometry. The functional is GGA-PBEsol.

Properties
magnetization: 0.0 μB per formula unit

a = 3.557 Å, b = 3.938 Å, c = 6.598 Å
α = 107.36°, β = 105.64°, γ = 90.00°
Fractional positions:
Si  0.946  0.946  0.892
Si  0.308  0.808  0.617
Sb  0.721  0.221  0.442
Hg  0.525  0.525  0.049

---

b | This record from Alexandria describes crystalline Si2HgSb at its relaxed geometry. The functional is GGA-PBEsol.

Properties
magnetization: 0.0 μB per formula unit

a = 4.845 Å, b = 4.845 Å, c = 4.845 Å
α = 60.00°, β = 60.00°, γ = 60.00°
Fractional positions:
Si  0.000  0.000  0.000
Si  0.250  0.250  0.250
Hg  0.500  0.500  0.500
Sb  0.750  0.750  0.750

---

Which one sits at the bottom of the stability order? b does.